GGA-PBE Na3ZnIn3I8, optimized geometry; calculated volume = 607.2 Å³/cell; magnetic moment = 0.0 μB per formula unit; E_form (uncorrected) = -0.755 eV per atom
1.0
9.2819 0.0000 0.0000
-4.6409 8.0481 -0.0296
0.0000 -5.3374 8.1479
Na Zn In I
3 1 3 8
direct
0.5000 0.0000 0.5000
0.5000 0.5000 0.5000
0.0000 0.5000 0.5000
0.0000 0.0000 0.5000
0.0000 0.0000 0.0000
0.0000 0.5000 0.0000
0.5000 0.5000 0.0000
0.2584 0.5168 0.2758
0.7416 0.4832 0.7242
0.7821 0.5642 0.2954
0.2179 0.4358 0.7046
0.7822 0.0133 0.2958
0.2178 0.9867 0.7042
0.2311 0.0133 0.2958
0.7689 0.9867 0.7042

---

GGA-PBE NbInI4, optimized geometry; calculated volume = 518.5 Å³/cell; magnetic moment = 2.0 μB per formula unit; E_form (uncorrected) = -0.412 eV per atom
1.0
-6.6640 1.8317 -3.2173
1.7664 -5.0990 -6.7439
-2.7543 -8.1377 0.8897
Nb In I
2 2 8
direct
0.7500 0.6139 0.3861
0.2500 0.3861 0.6139
0.2500 0.8874 0.1126
0.7500 0.1126 0.8874
0.9283 0.5051 0.7098
0.8790 0.9468 0.2909
0.5717 0.2902 0.4949
0.6210 0.7091 0.0532
0.3790 0.2909 0.9468
0.4283 0.7098 0.5051
0.1210 0.0532 0.7091
0.0717 0.4949 0.2902

---

GGA-PBE Nb3InI, optimized geometry; calculated volume = 126.5 Å³/cell; magnetic moment = 0.0 μB per formula unit; energy above the most stable polymorph in this dataset = 0 meV/atom; E_form (uncorrected) = 1.453 eV per atom
1.0
5.0196 0.0000 0.0000
0.0000 5.0196 0.0000
0.0000 0.0000 5.0196
I Nb In
1 3 1
direct
0.0000 0.0000 0.0000
0.0000 0.5000 0.0000
0.0000 0.0000 0.5000
0.5000 0.0000 0.0000
0.5000 0.5000 0.5000

---

GGA-PBE NbInI3, optimized geometry; calculated volume = 208.2 Å³/cell; magnetic moment = 3.9 μB per formula unit; energy above the most stable polymorph in this dataset = 805 meV/atom; E_form (uncorrected) = 0.740 eV per atom
1.0
5.9271 0.0000 0.0000
0.0000 5.9271 0.0000
0.0000 0.0000 5.9271
I Nb In
3 1 1
direct
0.0000 0.5000 0.0000
0.0000 0.0000 0.5000
0.5000 0.0000 0.0000
0.5000 0.5000 0.5000
0.0000 0.0000 0.0000

---

GGA-PBE Nb3InI, optimized geometry; calculated volume = 135.5 Å³/cell; magnetic moment = 0.0 μB per formula unit; energy above the most stable polymorph in this dataset = 440 meV/atom; E_form (uncorrected) = 1.892 eV per atom
1.0
5.1363 0.0000 0.0000
0.0000 5.1363 0.0000
0.0000 0.0000 5.1363
I Nb In
1 3 1
direct
0.5000 0.5000 0.5000
0.0000 0.5000 0.0000
0.0000 0.0000 0.5000
0.5000 0.0000 0.0000
0.0000 0.0000 0.0000

---

GGA-PBE NbInI6, optimized geometry; calculated volume = 355.3 Å³/cell; magnetic moment = 0.0 μB per formula unit; E_form (uncorrected) = -0.431 eV per atom
1.0
7.1145 0.0000 2.5980
3.5573 6.5089 1.2990
-0.1840 0.0000 7.6048
Nb In I
1 1 6
direct
0.5000 0.0000 0.5000
0.0000 0.0000 0.0000
0.2694 0.0000 0.2814
0.1257 0.3015 0.7276
0.7306 0.0000 0.7186
0.5728 0.3015 0.2724
0.8743 0.6985 0.2724
0.4272 0.6985 0.7276

---

GGA-PBE NbInI3, optimized geometry; calculated volume = 194.3 Å³/cell; magnetic moment = 3.0 μB per formula unit; energy above the most stable polymorph in this dataset = 0 meV/atom; E_form (uncorrected) = -0.065 eV per atom
1.0
-3.7830 -4.1425 1.4404
0.8928 -2.5897 -5.1032
4.2940 -3.1111 2.3300
I Nb In
3 1 1
direct
0.0000 0.5000 0.0000
0.0000 0.0000 0.5000
0.5000 0.0000 0.0000
0.0000 0.0000 0.0000
0.5000 0.5000 0.5000

---

GGA-PBE Nb3In2I9, optimized geometry; calculated volume = 1057.6 Å³/cell; magnetic moment = 0.0 μB per formula unit; E_form (uncorrected) = -0.468 eV per atom
1.0
-10.6003 2.5349 -1.3517
1.7778 -8.0250 -7.0199
0.7136 -3.2471 10.2853
Nb In I
6 4 18
direct
0.3868 0.1058 0.1058
0.6132 0.8942 0.8942
0.6320 0.0359 0.2031
0.3680 0.7969 0.9641
0.3680 0.9641 0.7969
0.6320 0.2031 0.0359
0.1611 0.5553 0.2378
0.8389 0.7622 0.4447
0.8389 0.4447 0.7622
0.1611 0.2378 0.5553
0.5000 0.2164 0.7836
0.1675 0.4891 0.9093
0.1675 0.9093 0.4891
0.8325 0.5109 0.0907
0.7823 0.7328 0.7328
0.2177 0.2672 0.2672
0.5232 0.3974 0.1803
0.4768 0.8197 0.6026
0.4768 0.6026 0.8197
0.5232 0.1803 0.3974
0.1609 0.6887 0.6887
0.8153 0.9111 0.1258
0.8153 0.1258 0.9111
0.1847 0.0889 0.8742
0.1847 0.8742 0.0889
0.5000 0.7836 0.2164
0.8391 0.3113 0.3113
0.8325 0.0907 0.5109